Compound: Nb2SbPb
Source: Alexandria via LeMat-Bulk
Functional: PBE-GGA
Structure: optimized geometry

Output
- raw formation energy (kJ/mol of atoms) = 20.96
- magnetic moment (μB/atom) = 0.000
- offset from the most stable computed form (meV per atom) = 0

Unit cell a=4.8848 b=4.8848 c=4.8848 alpha=60.00 beta=60.00 gamma=60.00
Fractional positions:
Nb (0.2500, 0.2500, 0.2500)
Nb (0.7500, 0.7500, 0.7500)
Sb (0.0000, 0.0000, 0.0000)
Pb (0.5000, 0.5000, 0.5000)

***

Compound: NbSb3Pb
Source: Alexandria via LeMat-Bulk
Functional: PBE-GGA
Structure: optimized geometry

Output
- raw formation energy (kJ/mol of atoms) = 31.11
- magnetic moment (μB/atom) = 0.000
- offset from the most stable computed form (meV per atom) = 0

Unit cell a=5.4080 b=5.4080 c=5.4080 alpha=90.00 beta=90.00 gamma=90.00
Fractional positions:
Nb (0.0000, 0.0000, 0.0000)
Sb (0.0000, 0.0000, 0.5000)
Sb (0.0000, 0.5000, 0.0000)
Sb (0.5000, 0.0000, 0.0000)
Pb (0.5000, 0.5000, 0.5000)

***

Compound: Nb2SbPb
Source: Alexandria via LeMat-Bulk
Functional: PBE-GGA
Structure: optimized geometry

Output
- raw formation energy (kJ/mol of atoms) = 59.41
- magnetic moment (μB/atom) = 0.000
- offset from the most stable computed form (meV per atom) = 398

Unit cell a=6.3025 b=6.3025 c=6.3025 alpha=103.47 beta=103.47 gamma=122.28
Fractional positions:
Nb (0.1008, 0.6250, 0.9758)
Nb (0.3750, 0.3508, 0.4758)
Nb (0.6492, 0.1250, 0.0242)
Nb (0.8750, 0.8992, 0.5242)
Sb (0.0000, 0.0000, 0.0000)
Sb (0.7500, 0.2500, 0.5000)
Pb (0.2500, 0.7500, 0.5000)
Pb (0.5000, 0.5000, 0.0000)

***

Compound: NbSbPb
Source: Alexandria via LeMat-Bulk
Functional: PBE-GGA
Structure: optimized geometry

Output
- raw formation energy (kJ/mol of atoms) = 21.95
- magnetic moment (μB/atom) = 0.000

Unit cell a=9.6130 b=9.6130 c=11.2085 alpha=118.10 beta=118.10 gamma=32.28
Fractional positions:
Nb (0.9996, 0.0004, 0.0000)
Nb (0.0004, 0.9996, 0.5000)
Nb (0.3442, 0.9637, 0.5746)
Nb (0.4356, 0.4979, 0.3595)
Nb (0.4979, 0.4356, 0.8595)
Nb (0.9637, 0.3442, 0.0746)
Sb (0.0760, 0.2210, 0.7870)
Sb (0.2210, 0.0760, 0.2870)
Sb (0.3039, 0.3215, 0.1137)
Sb (0.3215, 0.3039, 0.6137)
Sb (0.4333, 0.8198, 0.9794)
Sb (0.8198, 0.4333, 0.4794)
Pb (0.5130, 0.5274, 0.6479)
Pb (0.5274, 0.5130, 0.1479)
Pb (0.6457, 0.9780, 0.8565)
Pb (0.9136, 0.9486, 0.1995)
Pb (0.9486, 0.9136, 0.6995)
Pb (0.9780, 0.6457, 0.3565)

***

Compound: Nb2SbPb2
Source: Alexandria via LeMat-Bulk
Functional: PBE-GGA
Structure: optimized geometry

Output
- raw formation energy (kJ/mol of atoms) = 24.86
- magnetic moment (μB/atom) = 0.000

Unit cell a=7.2590 b=7.2590 c=4.5236 alpha=90.00 beta=90.00 gamma=90.00
Fractional positions:
Nb (0.1307, 0.3693, 0.0000)
Nb (0.3693, 0.8693, 0.0000)
Nb (0.6307, 0.1307, 0.0000)
Nb (0.8693, 0.6307, 0.0000)
Sb (0.0000, 0.0000, 0.0000)
Sb (0.5000, 0.5000, 0.0000)
Pb (0.1652, 0.6652, 0.5000)
Pb (0.3348, 0.1652, 0.5000)
Pb (0.6652, 0.8348, 0.5000)
Pb (0.8348, 0.3348, 0.5000)

***

Compound: NbSbPb2Se
Source: Alexandria via LeMat-Bulk
Functional: PBE-GGA
Structure: optimized geometry

Output
- raw formation energy (kJ/mol of atoms) = 131.02
- magnetic moment (μB/atom) = 0.005

Unit cell a=5.7364 b=5.7364 c=5.1986 alpha=90.00 beta=90.00 gamma=90.00
Fractional positions:
Nb (0.0000, 0.0000, 0.0000)
Sb (0.5000, 0.5000, 0.5000)
Pb (0.0000, 0.5000, 0.5000)
Pb (0.5000, 0.0000, 0.5000)
Se (0.5000, 0.5000, 0.0000)